Entry 1:
# PmTiIn2 PBE-GGA relaxed
data_PmTiIn2
_cell_length_a 4.577
_cell_length_b 4.593
_cell_length_c 4.593
_cell_angle_alpha 90.00
_cell_angle_beta 90.00
_cell_angle_gamma 90.00
_space_group_name_H-M_alt 'P 1'
_space_group_IT_number 1
_space_group_name_Hall 'P 1'
loop_
_atom_site_label
_atom_site_type_symbol
_atom_site_fract_x
_atom_site_fract_y
_atom_site_fract_z
_atom_site_occupancy
Pm1 Pm 0.500 0.500 0.500 1
In1 In 0.000 0.000 0.500 1
In2 In 0.000 0.500 0.000 1
Ti1 Ti 0.500 0.000 0.000 1
# * formation enthalpy at 0 K: -0.82 eV/f.u.

=====

Entry 2:
# PmTmTiIn PBE-GGA relaxed
data_PmTmTiIn
_cell_length_a 5.283
_cell_length_b 5.283
_cell_length_c 5.283
_cell_angle_alpha 60.00
_cell_angle_beta 60.00
_cell_angle_gamma 60.00
_space_group_name_H-M_alt 'P 1'
_space_group_IT_number 1
_space_group_name_Hall 'P 1'
loop_
_atom_site_label
_atom_site_type_symbol
_atom_site_fract_x
_atom_site_fract_y
_atom_site_fract_z
_atom_site_occupancy
Pm1 Pm 0.500 0.500 0.500 1
In1 In 0.250 0.250 0.250 1
Tm1 Tm 0.000 0.000 0.000 1
Ti1 Ti 0.750 0.750 0.750 1
# * formation enthalpy at 0 K: -0.28 eV/f.u.